No. 1
Pm2Sm3Al: relaxed, PBE-GGA.

Cell: 4.9009 4.8811 8.0220 Å, 107.71 90.00 90.00°
Fractional positions:
Pm  0.0000  0.6596  0.3193
Pm  0.0000  0.3404  0.6807
Sm  0.5000  0.1605  0.3210
Sm  0.5000  0.5000  0.0000
Sm  0.5000  0.8395  0.6790
Al  0.0000  0.0000  0.0000

SG: No. 65
DOS at the Fermi energy, states/eV/f.u.: 7.846
Volume, Å³/cell: 183

No. 2
PmSm2Al6: relaxed, PBE-GGA.

Cell: 3.6334 7.9671 7.9671 Å, 120.00 90.00 90.00°
Fractional positions:
Pm  0.0000  0.0000  0.0000
Sm  0.0000  0.3333  0.6667
Sm  0.0000  0.6667  0.3333
Al  0.5000  0.3337  0.3337
Al  0.5000  0.6663  0.6663
Al  0.5000  0.0000  0.6663
Al  0.5000  0.6663  0.0000
Al  0.5000  0.3337  0.0000
Al  0.5000  0.0000  0.3337

SG: No. 191
DOS at the Fermi energy, states/eV/f.u.: 4.311
Volume, Å³/cell: 200

No. 3
Pm6Sm12Al: relaxed, PBE-GGA.

Cell: 8.5990 8.5990 8.5990 Å, 88.86 88.86 88.86°
Fractional positions:
Pm  0.7429  0.9058  0.2931
Pm  0.7069  0.2571  0.0942
Pm  0.0942  0.7069  0.2571
Pm  0.2571  0.0942  0.7069
Pm  0.2931  0.7429  0.9058
Pm  0.9058  0.2931  0.7429
Sm  0.7821  0.5367  0.4351
Sm  0.4351  0.7821  0.5367
Sm  0.5367  0.4351  0.7821
Sm  0.2179  0.4633  0.5649
Sm  0.5649  0.2179  0.4633
Sm  0.4633  0.5649  0.2179
Sm  0.0161  0.1811  0.3578
Sm  0.8189  0.6422  0.9839
Sm  0.6422  0.9839  0.8189
Sm  0.9839  0.8189  0.6422
Sm  0.1811  0.3578  0.0161
Sm  0.3578  0.0161  0.1811
Al  0.0000  0.0000  0.0000

SG: No. 148
DOS at the Fermi energy, states/eV/f.u.: 27.953
Volume, Å³/cell: 635

No. 4
PmSm5Al6: relaxed, PBE-GGA.

Cell: 5.2107 9.0222 9.0222 Å, 120.05 106.76 106.76°
Fractional positions:
Al  0.2510  0.0839  0.4181
Al  0.7490  0.5819  0.9161
Al  0.7521  0.2521  0.2521
Al  0.2479  0.7479  0.7479
Al  0.2510  0.4181  0.0839
Al  0.7490  0.9161  0.5819
Sm  0.5000  0.1660  0.8340
Sm  0.0000  0.3329  0.6671
Sm  0.5000  0.5000  0.5000
Sm  0.0000  0.6671  0.3329
Sm  0.5000  0.8340  0.1660
Pm  0.0000  0.0000  0.0000

SG: No. 12
DOS at the Fermi energy, states/eV/f.u.: 3.834
Volume, Å³/cell: 300

No. 5
Pm5Sm4Al: relaxed, PBE-GGA.

Cell: 5.8725 8.1200 8.1200 Å, 82.49 68.80 68.80°
Fractional positions:
Pm  0.7800  0.3675  0.0000
Pm  0.1475  0.0000  0.6325
Pm  0.7800  0.0000  0.3675
Pm  0.1475  0.6325  0.0000
Pm  0.6530  0.0000  0.0000
Sm  0.4569  0.3126  0.6874
Sm  0.7696  0.6874  0.6874
Sm  0.1444  0.3126  0.3126
Sm  0.4570  0.6874  0.3126
Al  0.1744  0.0000  0.0000

SG: No. 107
Excess energy over the best structure of this formula in the dataset, eV per atom: 0.136
DOS at the Fermi energy, states/eV/f.u.: 12.951
Volume, Å³/cell: 337

No. 6
Pm3Sm4Al: relaxed, PBE-GGA.

Cell: 3.4865 5.6200 13.7692 Å, 101.40 97.27 90.00°
Site moments in Bohr magnetons follow the coordinates.
Fractional positions:
Al  0.5000  0.0000  0.0000  0.00
Sm  0.7156  0.2176  0.4312  0.00
Sm  0.2844  0.7824  0.5688  0.00
Sm  0.0942  0.1010  0.1884  0.01
Sm  0.9058  0.8990  0.8116  0.01
Pm  0.0000  0.5000  0.0000  0.10
Pm  0.1545  0.6592  0.3090  0.00
Pm  0.8455  0.3408  0.6910  0.00

SG: No. 12
DOS at the Fermi energy, states/eV/f.u.: 12.650
Volume, Å³/cell: 262

No. 7
Pm2SmAl: relaxed, PBE-GGA.

Cell: 5.3603 7.0461 7.0461 Å, 120.04 90.00 90.00°
Fractional positions:
Pm  0.5000  0.1776  0.8224
Pm  0.0000  0.3554  0.1780
Pm  0.0000  0.8220  0.6446
Pm  0.0000  0.8221  0.1779
Sm  0.5000  0.6448  0.8223
Sm  0.5000  0.1777  0.3552
Al  0.5000  0.6665  0.3335
Al  0.0000  0.3341  0.6659

SG: No. 38
Excess energy over the best structure of this formula in the dataset, eV per atom: 0.000
DOS at the Fermi energy, states/eV/f.u.: 3.771
Volume, Å³/cell: 230

No. 8
Pm14SmAl: relaxed, PBE-GGA.

Cell: 7.0020 7.0020 11.2678 Å, 90.00 90.00 105.76°
Fractional positions:
Pm  0.3848  0.6152  0.5000
Pm  0.8160  0.1840  0.5000
Pm  0.9003  0.6768  0.0000
Pm  0.8878  0.6879  0.5000
Pm  0.3232  0.0997  0.0000
Pm  0.3121  0.1122  0.5000
Pm  0.6882  0.9009  0.7679
Pm  0.6882  0.9009  0.2321
Pm  0.0991  0.3118  0.7679
Pm  0.0991  0.3118  0.2321
Pm  0.1795  0.8205  0.7416
Pm  0.1795  0.8205  0.2584
Pm  0.6153  0.3847  0.7669
Pm  0.6153  0.3847  0.2331
Sm  0.3829  0.6171  0.0000
Al  0.8286  0.1714  0.0000

SG: No. 38
DOS at the Fermi energy, states/eV/f.u.: 21.371
Volume, Å³/cell: 532

no.,ΔH_f (0 K) (eV per atom)
1,-0.078
2,-0.487
3,0.084
4,-0.373
5,0.107
6,0.094
7,-0.186
8,0.021